No. 1
Here is an optimized crystal structure of Ac2TlS from Alexandria via LeMat-Bulk. Energies are from PBE.

Cell and atoms, written as POSCAR:
```
Ac2TlS
1.0
3.752 0.000 0.000
0.000 3.752 0.000
0.000 0.000 8.533
Ac Tl S
2 1 1
Direct
0.000 0.000 0.224 Ac
0.000 0.000 0.776 Ac
0.500 0.500 0.500 Tl
0.500 0.500 0.000 S
```

Values from the calculation:
Calculated total energy ... -4.646 eV/atom
Symmetry ... P4/mmm (123)
Crystal system ... tetragonal
E above lowest polymorph ... 140.6 meV per atom

---

No. 2
Here is an optimized crystal structure of AcTl5S5 from Alexandria via LeMat-Bulk. Energies are from PBE.

Cell and atoms, written as POSCAR:
```
AcTl5S5
1.0
6.983 -2.937 0.000
6.983 2.937 0.000
-2.680 0.000 8.429
Ac Tl S
1 5 5
Direct
0.000 0.000 0.000 Ac
0.000 0.000 0.500 Tl
0.320 0.320 0.148 Tl
0.324 0.324 0.675 Tl
0.676 0.676 0.325 Tl
0.680 0.680 0.852 Tl
0.159 0.159 0.319 S
0.164 0.164 0.839 S
0.500 0.500 0.000 S
0.836 0.836 0.161 S
0.841 0.841 0.681 S
```

Values from the calculation:
Calculated total energy ... -3.964 eV/atom
Symmetry ... C2/m (12)
Crystal system ... monoclinic

---

No. 3
Here is an optimized crystal structure of Ac2TlS3 from Alexandria via LeMat-Bulk. Energies are from PBE.

Cell and atoms, written as POSCAR:
```
Ac2TlS3
1.0
3.901 0.000 0.000
0.000 5.199 0.000
0.000 0.000 16.682
Ac Tl S
4 2 6
Direct
0.000 0.000 0.145 Ac
0.000 0.000 0.855 Ac
0.500 0.500 0.355 Ac
0.500 0.500 0.645 Ac
0.000 0.000 0.500 Tl
0.500 0.500 0.000 Tl
0.000 0.000 0.320 S
0.000 0.000 0.680 S
0.000 0.500 0.500 S
0.500 0.000 0.000 S
0.500 0.500 0.180 S
0.500 0.500 0.820 S
```

Values from the calculation:
Calculated total energy ... -5.252 eV/atom
Symmetry ... Immm (71)
Crystal system ... orthorhombic

---

No. 4
Here is an optimized crystal structure of AcTlS2 from Alexandria via LeMat-Bulk. Energies are from PBE.

Cell and atoms, written as POSCAR:
```
AcTlS2
1.0
4.407 0.000 0.000
0.000 5.625 0.000
0.000 0.000 10.557
Ac Tl S
2 2 4
Direct
0.250 0.250 0.137 Ac
0.750 0.750 0.863 Ac
0.250 0.750 0.396 Tl
0.750 0.250 0.604 Tl
0.250 0.750 0.055 S
0.250 0.750 0.669 S
0.750 0.250 0.331 S
0.750 0.250 0.945 S
```

Values from the calculation:
Calculated total energy ... -5.112 eV/atom
Symmetry ... Pmmn (59)
Crystal system ... orthorhombic

---

No. 5
Here is an optimized crystal structure of Ac3Tl5S12 from Alexandria via LeMat-Bulk. Energies are from PBE.

Cell and atoms, written as POSCAR:
```
Ac3Tl5S12
1.0
-8.249 8.249 8.249
8.249 -8.249 8.249
8.249 8.249 -8.249
Ac Tl S
12 20 48
Direct
0.125 0.250 0.375 Ac
0.125 0.375 0.750 Ac
0.250 0.375 0.125 Ac
0.250 0.875 0.625 Ac
0.375 0.125 0.250 Ac
0.375 0.750 0.125 Ac
0.625 0.250 0.875 Ac
0.625 0.875 0.750 Ac
0.750 0.125 0.375 Ac
0.750 0.625 0.875 Ac
0.875 0.625 0.250 Ac
0.875 0.750 0.625 Ac
0.000 0.000 0.000 Tl
0.000 0.000 0.500 Tl
0.000 0.500 0.000 Tl
0.000 0.500 0.500 Tl
0.125 0.750 0.875 Tl
0.125 0.875 0.250 Tl
0.250 0.125 0.875 Tl
0.250 0.625 0.375 Tl
0.375 0.250 0.625 Tl
0.375 0.625 0.750 Tl
0.500 0.000 0.000 Tl
0.500 0.000 0.500 Tl
0.500 0.500 0.000 Tl
0.500 0.500 0.500 Tl
0.625 0.375 0.250 Tl
0.625 0.750 0.375 Tl
0.750 0.375 0.625 Tl
0.750 0.875 0.125 Tl
0.875 0.125 0.750 Tl
0.875 0.250 0.125 Tl
0.040 0.214 0.128 S
0.040 0.326 0.912 S
0.086 0.714 0.674 S
0.086 0.872 0.412 S
0.088 0.628 0.414 S
0.088 0.960 0.674 S
0.128 0.040 0.214 S
0.128 0.588 0.914 S
0.174 0.214 0.586 S
0.174 0.460 0.588 S
0.214 0.128 0.040 S
0.214 0.586 0.174 S
0.286 0.326 0.914 S
0.286 0.460 0.372 S
0.326 0.912 0.040 S
0.326 0.914 0.286 S
0.372 0.286 0.460 S
0.372 0.586 0.912 S
0.412 0.086 0.872 S
0.412 0.826 0.540 S
0.414 0.088 0.628 S
0.414 0.826 0.786 S
0.460 0.372 0.286 S
0.460 0.588 0.174 S
0.540 0.412 0.826 S
0.540 0.628 0.714 S
0.586 0.174 0.214 S
0.586 0.912 0.372 S
0.588 0.174 0.460 S
0.588 0.914 0.128 S
0.628 0.414 0.088 S
0.628 0.714 0.540 S
0.674 0.086 0.714 S
0.674 0.088 0.960 S
0.714 0.540 0.628 S
0.714 0.674 0.086 S
0.786 0.414 0.826 S
0.786 0.872 0.960 S
0.826 0.540 0.412 S
0.826 0.786 0.414 S
0.872 0.412 0.086 S
0.872 0.960 0.786 S
0.912 0.040 0.326 S
0.912 0.372 0.586 S
0.914 0.128 0.588 S
0.914 0.286 0.326 S
0.960 0.674 0.088 S
0.960 0.786 0.872 S
```

Values from the calculation:
Calculated total energy ... -4.553 eV/atom
Symmetry ... Ia-3d (230)
Crystal system ... cubic

---

No. 6
Here is an optimized crystal structure of Ac3TmTl4S8 from Alexandria via LeMat-Bulk. Energies are from PBE.

Cell and atoms, written as POSCAR:
```
Ac3TmTl4S8
1.0
4.321 2.495 7.470
-4.321 2.495 7.470
0.000 -4.990 7.470
Ac Tm Tl S
3 1 4 8
Direct
0.000 0.500 0.500 Ac
0.500 0.000 0.500 Ac
0.500 0.500 0.000 Ac
0.000 0.000 0.000 Tm
0.000 0.000 0.500 Tl
0.000 0.500 0.000 Tl
0.500 0.000 0.000 Tl
0.500 0.500 0.500 Tl
0.224 0.224 0.755 S
0.224 0.755 0.224 S
0.245 0.776 0.776 S
0.262 0.262 0.262 S
0.738 0.738 0.738 S
0.755 0.224 0.224 S
0.776 0.245 0.776 S
0.776 0.776 0.245 S
```

Values from the calculation:
Calculated total energy ... -5.181 eV/atom
Symmetry ... R-3m (166)
Crystal system ... trigonal

---

No. 7
Here is an optimized crystal structure of AcTmTl2S4 from Alexandria via LeMat-Bulk. Energies are from PBE.

Cell and atoms, written as POSCAR:
```
AcTmTl2S4
1.0
7.304 0.000 0.000
0.000 4.202 0.000
-2.417 0.000 7.490
Ac Tm Tl S
1 1 2 4
Direct
0.000 0.000 0.000 Ac
0.500 0.500 0.000 Tm
0.000 0.500 0.500 Tl
0.500 0.000 0.500 Tl
0.258 0.500 0.206 S
0.287 0.000 0.802 S
0.713 0.000 0.198 S
0.742 0.500 0.794 S
```

Values from the calculation:
Calculated total energy ... -5.192 eV/atom
Symmetry ... P2/m (10)
Crystal system ... monoclinic

---

No. 8
Here is an optimized crystal structure of Ac2TmTl3S6 from Alexandria via LeMat-Bulk. Energies are from PBE.

Cell and atoms, written as POSCAR:
```
Ac2TmTl3S6
1.0
3.716 -6.421 0.000
3.716 6.421 0.000
-2.460 0.000 7.461
Ac Tm Tl S
2 1 3 6
Direct
0.167 0.833 0.000 Ac
0.833 0.167 0.000 Ac
0.500 0.500 0.000 Tm
0.000 0.000 0.500 Tl
0.335 0.665 0.500 Tl
0.665 0.335 0.500 Tl
0.123 0.432 0.797 S
0.259 0.259 0.209 S
0.432 0.123 0.797 S
0.568 0.877 0.203 S
0.741 0.741 0.791 S
0.877 0.568 0.203 S
```

Values from the calculation:
Calculated total energy ... -5.195 eV/atom
Symmetry ... C2/m (12)
Crystal system ... monoclinic